Record 1
The following is a GGA-PBE calculation of crystalline Ac3Si2Rh4 at its relaxed geometry, from the Alexandria database.

```
Ac3Si2Rh4
1.0
-0.8623 1.5590 3.8810
-5.1797 -0.3447 -3.3618
1.8785 -7.9521 3.6117
Ac Rh Si
3 4 2
Direct
0.3722 0.7445 0.3057
0.6278 0.2555 0.6943
0.0000 0.0000 0.0000
0.2859 0.5719 0.9232
0.7141 0.4281 0.0768
0.8421 0.6841 0.5671
0.1579 0.3159 0.4329
0.6584 0.3167 0.3124
0.3416 0.6833 0.6876
```

Computed properties:
For the uncorrected formation energy, the calculation gives -7.501 eV/f.u. The crystal system is monoclinic. The space group is No. 12. The size of the total moment comes out at 0.0 Bohr magnetons per cell.

***

Record 2
The following is a GGA-PBE calculation of crystalline KBePd3 at its relaxed geometry, from the Alexandria database.

```
KBePd3
1.0
-2.9541 2.5141 3.0522
-3.9437 -2.1517 -2.0447
0.2891 -3.6624 3.2965
Pd K Be
3 1 1
Direct
0.5000 0.0000 0.0000
0.0000 0.0000 0.5000
0.0000 0.5000 0.0000
0.0000 0.0000 0.0000
0.5000 0.5000 0.5000
```

Computed properties:
As for the formation energy: 1.71 eV per atom. The crystal system is cubic. The calculation puts the energy above the lowest structure with this stoichiometry at 8.82 eV/f.u. The space group is No. 221. The size of the total moment comes out at 0.0 Bohr magnetons per cell.